Material: PuB2H8Pd
Method: DFT, PBE
State: relaxed

Values from the calculation:
DFT total energy in eV/atom: -5.06
Magnetic moment in μB per cell: 6.0
SG: P-3m1
Volume in Å³/cell: 111

POSCAR file:
```
PuB2H8Pd
1.0
4.4617 0.0000 0.0000
-2.2309 3.8640 0.0000
0.0000 0.0000 6.4582
Pu B H Pd
1 2 8 1
Cartesian
0.0000 0.0000 0.0000
0.0000 2.5760 1.4097
2.2309 1.2880 5.0484
0.0000 1.4117 1.9041
-1.0083 3.1581 1.9041
0.0000 2.5760 0.1479
1.2225 0.7058 4.5541
1.0083 3.1581 1.9041
2.2309 1.2880 6.3103
3.2392 0.7058 4.5541
2.2309 2.4523 4.5541
0.0000 0.0000 3.2291
```

Material: TaAsN2O
Method: DFT, PBE
State: relaxed

Values from the calculation:
DFT total energy in eV/atom: -7.78
Magnetic moment in μB per cell: 0.0
Raw formation energy in kJ/mol of atoms: -14.9
SG: P4/mmm
Volume in Å³/cell: 66

POSCAR file:
```
TaAsN2O
1.0
4.1435 0.0000 0.0000
0.0000 4.1435 0.0000
0.0000 0.0000 3.8480
Ta As N O
1 1 2 1
Cartesian
0.0000 0.0000 0.0000
2.0717 2.0717 1.9240
0.0000 2.0717 0.0000
2.0717 0.0000 0.0000
0.0000 0.0000 1.9240
```

Material: Nd2Dy5Sc12
Method: DFT, PBE
State: relaxed

Values from the calculation:
DFT total energy in eV/atom: -5.57
Magnetic moment in μB per cell: 0.0
SG: C2/m
Energy relative to the elements in eV per atom: 0.14
Volume in Å³/cell: 529

POSCAR file:
```
Nd2Dy5Sc12
1.0
7.5050 -4.3256 0.0000
7.5050 4.3256 0.0000
-0.3408 0.0000 8.1413
Nd Dy Sc
2 5 12
Cartesian
7.5050 2.6551 0.0000
7.5050 -2.6551 0.0000
3.0394 0.0000 0.0285
3.8131 0.0000 3.4209
7.3346 0.0000 4.0706
10.8560 0.0000 4.7204
11.6298 0.0000 8.1128
0.6680 0.0000 2.7129
5.4781 2.6878 2.8425
4.9359 1.5418 6.0931
9.1910 2.6878 5.2988
6.0980 0.0000 0.9696
9.7333 1.5418 2.0481
4.9359 -1.5418 6.0931
8.5712 0.0000 7.1717
5.4781 -2.6878 2.8425
9.7333 -1.5418 2.0481
9.1910 -2.6878 5.2988
14.0011 0.0000 5.4284
```

Material: SrTa3F
Method: DFT, PBE
State: relaxed

Values from the calculation:
E above lowest polymorph in meV/atom: 0
DFT total energy in eV/atom: -7.18
Magnetic moment in μB per cell: 0.0
Raw formation energy in kJ/mol of atoms: 62.1
SG: Pm-3m
Volume in Å³/cell: 97

POSCAR file:
```
SrTa3F
1.0
4.5897 0.0000 0.0000
0.0000 4.5897 0.0000
0.0000 0.0000 4.5897
Sr Ta F
1 3 1
Cartesian
0.0000 0.0000 0.0000
0.0000 2.2949 2.2949
2.2949 0.0000 2.2949
2.2949 2.2949 0.0000
2.2949 2.2949 2.2949
```

Material: PrBe4
Method: DFT, PBE
State: relaxed

Values from the calculation:
DFT total energy in eV/atom: -1.58
Magnetic moment in μB per cell: 0.0
SG: Pm-3m
Energy relative to the elements in eV per atom: 2.35
Volume in Å³/cell: 130

POSCAR file:
```
PrBe4
1.0
5.0658 0.0000 0.0000
0.0000 5.0658 0.0000
0.0000 0.0000 5.0658
Pr Be
1 4
Cartesian
0.0000 0.0000 0.0000
0.0000 0.0000 2.5329
0.0000 2.5329 0.0000
2.5329 0.0000 0.0000
2.5329 2.5329 2.5329
```

Material: LiNi2Pt2
Method: DFT, PBE
State: relaxed

Values from the calculation:
E above lowest polymorph in meV/atom: 0
DFT total energy in eV/atom: -5.27
Magnetic moment in μB per cell: 3.7
SG: P4/mbm
Energy relative to the elements in eV per atom: -0.16
Volume in Å³/cell: 144

POSCAR file:
```
LiNi2Pt2
1.0
7.3350 0.0000 0.0000
0.0000 7.3350 0.0000
0.0000 0.0000 2.6784
Li Ni Pt
2 4 4
Cartesian
0.0000 0.0000 0.0000
3.6675 3.6675 0.0000
0.8629 2.8046 0.0000
2.8046 6.4721 0.0000
4.5305 0.8629 0.0000
6.4721 4.5305 0.0000
1.3142 4.9817 1.3392
2.3533 1.3142 1.3392
4.9817 6.0208 1.3392
6.0208 2.3533 1.3392
```

Material: MgV
Method: DFT, PBE
State: relaxed

Values from the calculation:
DFT total energy in eV/atom: -3.35
Magnetic moment in μB per cell: 26.3
SG: Pm-3n
Energy relative to the elements in eV per atom: 2.01
Volume in Å³/cell: 509

POSCAR file:
```
MgV
1.0
7.9841 0.0000 0.0000
0.0000 7.9841 0.0000
0.0000 0.0000 7.9841
Mg V
6 6
Cartesian
0.0000 1.9960 3.9920
0.0000 5.9880 3.9920
1.9960 3.9920 0.0000
3.9920 0.0000 1.9960
3.9920 0.0000 5.9880
5.9880 3.9920 0.0000
0.0000 3.9920 1.9960
0.0000 3.9920 5.9880
1.9960 0.0000 3.9920
3.9920 1.9960 0.0000
3.9920 5.9880 0.0000
5.9880 0.0000 3.9920
```

Material: BeTlBr2
Method: DFT, PBE
State: relaxed

Values from the calculation:
E above lowest polymorph in meV/atom: 652
DFT total energy in eV/atom: -2.18
Magnetic moment in μB per cell: 0.5
Raw formation energy in kJ/mol of atoms: 17.3
SG: P4/mmm
Volume in Å³/cell: 109

POSCAR file:
```
BeTlBr2
1.0
5.3613 0.0000 0.0000
0.0000 5.3613 0.0000
0.0000 0.0000 3.7982
Be Tl Br
1 1 2
Cartesian
0.0000 0.0000 0.0000
2.6806 2.6806 0.0000
0.0000 2.6806 1.8991
2.6806 0.0000 1.8991
```